A geometry-optimized Gd2SO2 structure, computed with PBE.

Cell: 4.112 16.164 3.720 Å, 90.00 90.00 90.00°
Space group Cmmm (No. 65)
One atom of each set of equivalent atoms:
Gd (0.000, 0.116, 0.000) (multiplicity 4)
S (0.000, 0.500, 0.000) (multiplicity 2)
O (0.000, 0.173, 0.500) (multiplicity 4)

**Final energy**: -70.26 eV per cell